Entry 1:
A plane-wave DFT calculation with GGA-PBE was carried out for a geometry-optimized LaMg6Ag12 structure.

Calculated values
The value obtained for the total moment is 0.00 μB/f.u. As for the formation enthalpy at 0 K: -49 meV/atom. Its symmetry is R-3m (166).

```
19
Lattice="6.0286 3.4806 3.1696 -6.0286 3.4806 3.1696 0.0000 -6.9612 3.1696" Properties=species:S:1:pos:R:3 pbc="T T T"
La 0.0000 0.0000 0.0000
Mg 0.0000 -2.9234 4.0109
Mg -2.5317 1.4617 4.0109
Mg -2.5317 -1.4617 5.4979
Mg 2.5317 1.4617 4.0109
Mg 2.5317 -1.4617 5.4979
Mg 0.0000 2.9234 5.4979
Ag -2.3333 -4.0415 4.7544
Ag -4.6667 0.0000 4.7544
Ag -1.4999 -0.8659 2.7410
Ag 1.4999 -0.8660 2.7410
Ag 0.0000 1.7319 2.7410
Ag 2.3333 -4.0415 4.7544
Ag -2.3333 4.0415 4.7544
Ag 0.0000 -1.7319 6.7677
Ag -1.4999 0.8660 6.7677
Ag 1.4999 0.8660 6.7677
Ag 4.6667 0.0000 4.7544
Ag 2.3333 4.0415 4.7544
```


Entry 2:
A plane-wave DFT calculation with GGA-PBE was carried out for a geometry-optimized Cs2SnAs2Se9 structure.

Calculated values
The uncorrected formation energy comes out at -10.59 kcal/mol of atoms. The value obtained for the total moment is 0.00 μB/f.u. Its symmetry is P2_1 (4).

```
28
Lattice="7.6061 0.0000 0.0000 0.0000 17.6571 0.0000 -3.7459 0.0000 7.3330" Properties=species:S:1:pos:R:3 pbc="T T T"
Cs 0.2758 0.0000 0.2163
Cs -0.4154 13.8029 5.3187
Cs 4.2756 4.9743 2.0143
Cs 3.5844 8.8286 7.1168
Sn 0.3159 6.5491 4.4971
Sn 3.5443 15.3777 2.8359
As -0.2498 10.0019 4.0588
As 0.2490 2.6754 4.9731
As 3.6112 11.5039 2.3599
As 4.1100 1.1733 3.2742
Se -1.7166 8.2206 3.5070
Se 0.4121 5.3235 2.0707
Se -1.2376 4.4702 5.3507
Se 1.1466 14.3745 2.0178
Se 1.6848 12.2826 1.0299
Se 1.0131 3.0879 2.6350
Se -0.4681 7.5856 6.9310
Se -0.2263 9.9003 6.6019
Se 1.7807 8.7958 3.6785
Se 2.0795 17.6244 3.6545
Se 4.0865 1.0717 0.7311
Se 4.3283 16.4142 0.4020
Se 2.8471 11.9164 4.6980
Se 2.1754 3.4541 6.3031
Se 2.7136 5.5459 5.3152
Se 5.0978 13.2987 1.9823
Se 3.4481 14.1521 5.2623
Se 5.5768 17.0492 3.8260
```


Entry 3:
A plane-wave DFT calculation with GGA-PBE was carried out for a geometry-optimized InGa2Sn2Rh5 structure.

Calculated values
The value obtained for the total moment is 0.00 μB/f.u. As for the formation enthalpy at 0 K: -316 meV/atom. Its symmetry is P4/mbm (127).

```
20
Lattice="9.7084 0.0000 0.0000 0.0000 9.7084 0.0000 0.0000 0.0000 3.5890" Properties=species:S:1:pos:R:3 pbc="T T T"
In 0.0000 0.0000 0.0000
In 4.8542 4.8542 0.0000
Ga 1.2419 3.6123 0.0000
Ga 3.6123 8.4665 0.0000
Ga 6.0962 1.2419 0.0000
Ga 8.4665 6.0962 0.0000
Sn 1.6553 6.5095 0.0000
Sn 3.1989 1.6553 0.0000
Sn 6.5095 8.0531 0.0000
Sn 8.0531 3.1989 0.0000
Rh 0.0000 4.8542 1.7945
Rh 0.9843 1.8539 1.7945
Rh 1.8539 8.7241 1.7945
Rh 3.0003 3.8699 1.7945
Rh 3.8699 6.7081 1.7945
Rh 4.8542 0.0000 1.7945
Rh 5.8385 3.0003 1.7945
Rh 6.7081 5.8385 1.7945
Rh 7.8545 0.9843 1.7945
Rh 8.7241 7.8545 1.7945
```


Entry 4:
A plane-wave DFT calculation with GGA-PBE was carried out for a geometry-optimized LaSm2DyS6 structure.

Calculated values
The uncorrected formation energy comes out at -47.55 kcal/mol of atoms. The value obtained for the total moment is 0.00 μB/f.u. Its symmetry is R3 (146).

```
10
Lattice="3.5576 2.0540 6.2577 -3.5576 2.0540 6.2577 0.0000 -4.1079 6.2577" Properties=species:S:1:pos:R:3 pbc="T T T"
La 0.0000 0.0000 0.0000
Sm 0.0000 0.0000 5.4177
Sm 0.0000 0.0000 14.8817
Dy 0.0000 0.0000 9.2612
S -2.0626 -0.0826 7.3905
S -1.4019 -2.0046 10.5033
S 1.1028 -1.7450 7.3905
S -1.0351 2.2164 10.5033
S 0.9598 1.8275 7.3905
S 2.4370 -0.2117 10.5033
```


Entry 5:
A plane-wave DFT calculation with GGA-PBE was carried out for a geometry-optimized Sc2MnBIr structure.

Calculated values
The value obtained for the total moment is 3.79 μB/f.u. As for the formation enthalpy at 0 K: 847 meV/atom. Its symmetry is P4/mmm (123).

```
5
Lattice="4.9143 0.0000 0.0000 0.0000 4.9143 0.0000 0.0000 0.0000 4.7924" Properties=species:S:1:pos:R:3 pbc="T T T"
Sc 0.0000 2.4572 0.0000
Sc 2.4572 0.0000 0.0000
Mn 0.0000 0.0000 2.3962
B 2.4572 2.4572 2.3962
Ir 0.0000 0.0000 0.0000
```


Entry 6:
A plane-wave DFT calculation with GGA-PBE was carried out for a geometry-optimized CaGaPCl2 structure.

Calculated values
The uncorrected formation energy comes out at -16.61 kcal/mol of atoms. The value obtained for the total moment is 0.00 μB/f.u. Its symmetry is P4/mmm (123).

```
5
Lattice="4.9365 0.0000 0.0000 0.0000 4.9365 0.0000 0.0000 0.0000 4.8493" Properties=species:S:1:pos:R:3 pbc="T T T"
Ca 0.0000 0.0000 0.0000
Ga 2.4682 2.4682 2.4246
P 2.4682 2.4682 0.0000
Cl 0.0000 2.4682 2.4246
Cl 2.4682 0.0000 2.4246
```


Entry 7:
A plane-wave DFT calculation with GGA-PBE was carried out for a geometry-optimized In2SbMo structure.

Calculated values
The uncorrected formation energy comes out at 10.45 kcal/mol of atoms. The value obtained for the total moment is 0.88 μB/f.u. Its symmetry is C2/m (12).

```
4
Lattice="5.3730 -1.7071 0.0000 5.3730 1.7071 0.0000 -0.4310 0.0000 4.7435" Properties=species:S:1:pos:R:3 pbc="T T T"
In 2.4950 0.0000 1.1355
In 7.8200 0.0000 3.6080
Sb -0.2155 0.0000 2.3717
Mo 5.3730 0.0000 0.0000
```


Entry 8:
A plane-wave DFT calculation with GGA-PBE was carried out for a geometry-optimized LaV2Hg structure.

Calculated values
The value obtained for the total moment is 7.22 μB/f.u. As for the formation enthalpy at 0 K: 520 meV/atom. Its symmetry is Fm-3m (225).

```
4
Lattice="0.0000 3.5268 3.5268 3.5268 0.0000 3.5268 3.5268 3.5268 0.0000" Properties=species:S:1:pos:R:3 pbc="T T T"
La 0.0000 0.0000 0.0000
V 1.7634 1.7634 1.7634
V 5.2901 5.2901 5.2901
Hg 3.5268 3.5268 3.5268
```


What is the total moment in the fourth record? 0.00 μB/f.u.


Which value of total moment does entry 7 give? 0.88 μB/f.u.


Please write out number 5 again, unchanged.
A plane-wave DFT calculation with GGA-PBE was carried out for a geometry-optimized Sc2MnBIr structure.

Calculated values
The value obtained for the total moment is 3.79 μB/f.u. As for the formation enthalpy at 0 K: 847 meV/atom. Its symmetry is P4/mmm (123).

```
5
Lattice="4.9143 0.0000 0.0000 0.0000 4.9143 0.0000 0.0000 0.0000 4.7924" Properties=species:S:1:pos:R:3 pbc="T T T"
Sc 0.0000 2.4572 0.0000
Sc 2.4572 0.0000 0.0000
Mn 0.0000 0.0000 2.3962
B 2.4572 2.4572 2.3962
Ir 0.0000 0.0000 0.0000
```


Look up the total moment of the seventh one. 0.88 μB/f.u.